A relaxed CaBe2P2 crystal, computed with PBE.

Summary:
E_form	-0.736	eV per atom
energy above the lowest structure with this stoichiometry	0.00	eV/f.u.

Unit cell a=3.7431 b=3.7431 c=6.6138 alpha=90.00 beta=90.00 gamma=120.00
With the nearest neighbours (Å) after each atom.
Positions (direct):
1 Ca 0.0000 0.0000 0.0000  6 P 2.87
2 Be 0.3333 0.6667 0.6228  4 P 2.24-2.25
3 Be 0.6667 0.3333 0.3772  4 P 2.24-2.25
4 P 0.3333 0.6667 0.2848  4 Be 2.24-2.25
5 P 0.6667 0.3333 0.7152  4 Be 2.24-2.25